1.
First-principles (PBE) data for an optimized crystal structure of Ce2PaP3Rh12, as listed in Alexandria via LeMat-Bulk.

The value obtained for the total energy is -7.511 eV per atom. The calculation puts the energy of formation at -0.522 eV per atom. For the size of the total moment, the calculation gives 0.00 μB per formula unit.

The structure belongs to space group R-3m (No. 166, hexagonal axes); the cell edges are 8.7054, 8.7054 and 13.6911 Å and the angles 90.00°, 90.00° and 120.00°. The distinct sites, in fractional coordinates, are Ce at (0.0000, 0.0000, 0.1102), Pa at (0.0000, 0.0000, 0.5000), P at (0.0000, 0.5000, 0.0000), Rh at (0.0231, 0.5115, 0.8311) and Rh at (0.0436, 0.5218, 0.3696).

***

2.
First-principles (PBE) data for an optimized crystal structure of CePaP2Ru5, as listed in Alexandria via LeMat-Bulk.

The value obtained for the total energy is -8.520 eV per atom. The calculation puts the energy of formation at -0.450 eV per atom. For the size of the total moment, the calculation gives 0.15 μB per formula unit.

The structure belongs to space group P4/mmm (No. 123); the cell edges are 3.997, 3.997 and 10.630 Å and the angles 90.00°, 90.00° and 90.00°. The distinct sites, in fractional coordinates, are Ce at (0.000, 0.000, 0.000), Pa at (0.000, 0.000, 0.500), P at (0.500, 0.500, 0.215), Ru at (0.000, 0.500, 0.320) and Ru at (0.500, 0.500, 0.000).

***

3.
First-principles (PBE) data for an optimized crystal structure of Ce2ScPaP4, as listed in Alexandria via LeMat-Bulk.

The value obtained for the total energy is -7.605 eV per atom. The calculation puts the energy of formation at -1.438 eV per atom. For the size of the total moment, the calculation gives 1.06 μB per formula unit.

The structure belongs to space group P2/m (No. 10); the cell edges are 6.852, 3.990 and 6.919 Å and the angles 90.00°, 109.43° and 90.00°. The distinct sites, in fractional coordinates, are Ce at (0.000, 0.000, 0.000), Ce at (0.500, 0.500, 0.000), Sc at (0.000, 0.500, 0.500), Pa at (0.500, 0.000, 0.500), P at (0.240, 0.000, 0.733) and P at (0.248, 0.500, 0.264).

***

4.
First-principles (PBE) data for an optimized crystal structure of Ce4ScPa3P8, as listed in Alexandria via LeMat-Bulk.

The value obtained for the total energy is -7.791 eV per atom. The calculation puts the energy of formation at -1.426 eV per atom. For the size of the total moment, the calculation gives 0.45 μB per formula unit.

The structure belongs to space group R-3m (No. 166, hexagonal axes); the cell edges are 7.9848, 7.9848 and 19.6711 Å and the angles 90.00°, 90.00° and 120.00°. The distinct sites, in fractional coordinates, are Ce at (0.0000, 0.0000, 0.0000), Ce at (0.0000, 0.5000, 0.0000), Sc at (0.0000, 0.0000, 0.5000), Pa at (0.0000, 0.5000, 0.5000), P at (0.0000, 0.0000, 0.2473) and P at (0.0053, 0.5027, 0.2455).

***

5.
First-principles (PBE) data for an optimized crystal structure of Ce3Sc2PaP6, as listed in Alexandria via LeMat-Bulk.

The value obtained for the total energy is -7.486 eV per atom. The calculation puts the energy of formation at -1.451 eV per atom. For the size of the total moment, the calculation gives 1.74 μB per formula unit.

The structure belongs to space group C2/m (No. 12); the cell edges are 6.854, 11.873 and 6.888 Å and the angles 90.00°, 109.40° and 90.00°. The distinct sites, in fractional coordinates, are Ce at (0.000, 0.000, 0.000), Ce at (0.000, 0.334, 0.000), Sc at (0.000, 0.167, 0.500), Pa at (0.000, 0.500, 0.500), P at (0.239, 0.000, 0.731) and P at (0.247, 0.331, 0.733).

***

6.
First-principles (PBE) data for an optimized crystal structure of Ce2Sm3PaP6, as listed in Alexandria via LeMat-Bulk.

The value obtained for the total energy is -7.182 eV per atom. The calculation puts the energy of formation at -1.517 eV per atom. For the size of the total moment, the calculation gives 1.19 μB per formula unit.

The structure belongs to space group C2/m (No. 12); the cell edges are 7.062, 12.227 and 7.048 Å and the angles 90.00°, 109.50° and 90.00°. The distinct sites, in fractional coordinates, are Ce at (0.000, 0.166, 0.000), Sm at (0.000, 0.000, 0.500), Sm at (0.000, 0.332, 0.500), Pa at (0.000, 0.500, 0.000), P at (0.244, 0.337, 0.243) and P at (0.244, 0.500, 0.757).

***

7.
First-principles (PBE) data for an optimized crystal structure of Ce3SmPa2P6, as listed in Alexandria via LeMat-Bulk.

The value obtained for the total energy is -7.619 eV per atom. The calculation puts the energy of formation at -1.455 eV per atom. For the size of the total moment, the calculation gives 1.50 μB per formula unit.

The structure belongs to space group C2/m (No. 12); the cell edges are 7.002, 12.127 and 7.019 Å and the angles 90.00°, 109.42° and 90.00°. The distinct sites, in fractional coordinates, are Ce at (0.000, 0.000, 0.000), Ce at (0.000, 0.335, 0.000), Sm at (0.000, 0.500, 0.500), Pa at (0.000, 0.167, 0.500), P at (0.240, 0.000, 0.742) and P at (0.248, 0.170, 0.257).

***

8.
First-principles (PBE) data for an optimized crystal structure of Ce2SmPa3P6, as listed in Alexandria via LeMat-Bulk.

The value obtained for the total energy is -7.885 eV per atom. The calculation puts the energy of formation at -1.423 eV per atom. For the size of the total moment, the calculation gives 0.27 μB per formula unit.

The structure belongs to space group C2/m (No. 12); the cell edges are 6.964, 12.063 and 6.983 Å and the angles 90.00°, 109.44° and 90.00°. The distinct sites, in fractional coordinates, are Ce at (0.000, 0.167, 0.000), Sm at (0.000, 0.500, 0.000), Pa at (0.000, 0.000, 0.500), Pa at (0.000, 0.334, 0.500), P at (0.246, 0.167, 0.740) and P at (0.247, 0.500, 0.740).

***

9.
First-principles (PBE) data for an optimized crystal structure of CeSm3Pa2P6, as listed in Alexandria via LeMat-Bulk.

The value obtained for the total energy is -7.444 eV per atom. The calculation puts the energy of formation at -1.482 eV per atom. For the size of the total moment, the calculation gives 0.48 μB per formula unit.

The structure belongs to space group C2/m (No. 12); the cell edges are 7.018, 12.154 and 7.013 Å and the angles 90.00°, 109.48° and 90.00°. The distinct sites, in fractional coordinates, are Ce at (0.000, 0.000, 0.000), Sm at (0.000, 0.165, 0.500), Sm at (0.000, 0.500, 0.500), Pa at (0.000, 0.333, 0.000), P at (0.240, 0.500, 0.240) and P at (0.250, 0.170, 0.240).

***

10.
First-principles (PBE) data for an optimized crystal structure of Ce2SmPaP4, as listed in Alexandria via LeMat-Bulk.

The value obtained for the total energy is -7.439 eV per atom. The calculation puts the energy of formation at -1.473 eV per atom. For the size of the total moment, the calculation gives 1.19 μB per formula unit.

The structure belongs to space group P2/m (No. 10); the cell edges are 7.021, 4.059 and 7.038 Å and the angles 90.00°, 109.42° and 90.00°. The distinct sites, in fractional coordinates, are Ce at (0.000, 0.000, 0.000), Ce at (0.500, 0.500, 0.000), Sm at (0.000, 0.500, 0.500), Pa at (0.500, 0.000, 0.500), P at (0.257, 0.000, 0.747) and P at (0.259, 0.500, 0.258).

***

11.
First-principles (PBE) data for an optimized crystal structure of Sr4CePa3P8, as listed in Alexandria via LeMat-Bulk.

The value obtained for the total energy is -6.528 eV per atom. The calculation puts the energy of formation at -1.251 eV per atom. For the size of the total moment, the calculation gives 1.57 μB per formula unit.

The structure belongs to space group R-3m (No. 166, hexagonal axes); the cell edges are 8.3118, 8.3118 and 20.7463 Å and the angles 90.00°, 90.00° and 120.00°. The distinct sites, in fractional coordinates, are Sr at (0.0000, 0.0000, 0.0000), Sr at (0.0000, 0.5000, 0.0000), Ce at (0.0000, 0.0000, 0.5000), Pa at (0.0000, 0.5000, 0.5000), P at (0.0000, 0.0000, 0.2380) and P at (0.0095, 0.5048, 0.7614).

***

12.
First-principles (PBE) data for an optimized crystal structure of Sr3Ce2PaP6, as listed in Alexandria via LeMat-Bulk.

The value obtained for the total energy is -6.205 eV per atom. The calculation puts the energy of formation at -1.299 eV per atom. For the size of the total moment, the calculation gives 1.05 μB per formula unit.

The structure belongs to space group C2/m (No. 12); the cell edges are 7.295, 12.634 and 7.351 Å and the angles 90.00°, 109.34° and 90.00°. The distinct sites, in fractional coordinates, are Sr at (0.000, 0.000, 0.000), Sr at (0.000, 0.332, 0.000), Ce at (0.000, 0.166, 0.500), Pa at (0.000, 0.500, 0.500), P at (0.234, 0.339, 0.717) and P at (0.250, 0.000, 0.717).

***

13.
First-principles (PBE) data for an optimized crystal structure of Sr3CePa2P6, as listed in Alexandria via LeMat-Bulk.

The value obtained for the total energy is -6.469 eV per atom. The calculation puts the energy of formation at -1.266 eV per atom. For the size of the total moment, the calculation gives 1.18 μB per formula unit.

The structure belongs to space group C2/m (No. 12); the cell edges are 7.222, 12.507 and 7.328 Å and the angles 90.00°, 109.19° and 90.00°. The distinct sites, in fractional coordinates, are Sr at (0.000, 0.000, 0.000), Sr at (0.000, 0.335, 0.000), Ce at (0.000, 0.500, 0.500), Pa at (0.000, 0.167, 0.500), P at (0.228, 0.000, 0.716) and P at (0.244, 0.328, 0.716).

***

14.
First-principles (PBE) data for an optimized crystal structure of Tb2CePa3P6, as listed in Alexandria via LeMat-Bulk.

The value obtained for the total energy is -7.786 eV per atom. The calculation puts the energy of formation at -1.441 eV per atom. For the size of the total moment, the calculation gives 0.53 μB per formula unit.

The structure belongs to space group C2/m (No. 12); the cell edges are 6.932, 12.009 and 6.935 Å and the angles 90.00°, 109.49° and 90.00°. The distinct sites, in fractional coordinates, are Tb at (0.000, 0.167, 0.000), Ce at (0.000, 0.500, 0.000), Pa at (0.000, 0.000, 0.500), Pa at (0.000, 0.334, 0.500), P at (0.247, 0.168, 0.743) and P at (0.250, 0.000, 0.256).

***

15.
First-principles (PBE) data for an optimized crystal structure of Tb2Ce3PaP6, as listed in Alexandria via LeMat-Bulk.

The value obtained for the total energy is -7.263 eV per atom. The calculation puts the energy of formation at -1.511 eV per atom. For the size of the total moment, the calculation gives 1.97 μB per formula unit.

The structure belongs to space group C2/m (No. 12); the cell edges are 7.003, 12.126 and 7.026 Å and the angles 90.00°, 109.38° and 90.00°. The distinct sites, in fractional coordinates, are Tb at (0.000, 0.166, 0.000), Ce at (0.000, 0.000, 0.500), Ce at (0.000, 0.332, 0.500), Pa at (0.000, 0.500, 0.000), P at (0.245, 0.336, 0.243) and P at (0.246, 0.500, 0.757).

***

16.
First-principles (PBE) data for an optimized crystal structure of TbCePa2P4, as listed in Alexandria via LeMat-Bulk.

The value obtained for the total energy is -7.834 eV per atom. The calculation puts the energy of formation at -1.434 eV per atom. For the size of the total moment, the calculation gives 0.23 μB per formula unit.

The structure belongs to space group P2/m (No. 10); the cell edges are 6.937, 4.006 and 6.947 Å and the angles 90.00°, 109.48° and 90.00°. The distinct sites, in fractional coordinates, are Tb at (0.000, 0.000, 0.000), Ce at (0.500, 0.500, 0.000), Pa at (0.000, 0.500, 0.500), Pa at (0.500, 0.000, 0.500), P at (0.245, 0.000, 0.743) and P at (0.251, 0.500, 0.257).

***

17.
First-principles (PBE) data for an optimized crystal structure of TbCe3Pa2P6, as listed in Alexandria via LeMat-Bulk.

The value obtained for the total energy is -7.619 eV per atom. The calculation puts the energy of formation at -1.462 eV per atom. For the size of the total moment, the calculation gives 1.45 μB per formula unit.

The structure belongs to space group C2/m (No. 12); the cell edges are 6.977, 12.084 and 7.001 Å and the angles 90.00°, 109.40° and 90.00°. The distinct sites, in fractional coordinates, are Tb at (0.000, 0.000, 0.000), Ce at (0.000, 0.165, 0.500), Ce at (0.000, 0.500, 0.500), Pa at (0.000, 0.333, 0.000), P at (0.243, 0.500, 0.241) and P at (0.249, 0.169, 0.241).

***

18.
First-principles (PBE) data for an optimized crystal structure of TbCe4Pa3P8, as listed in Alexandria via LeMat-Bulk.

The value obtained for the total energy is -7.709 eV per atom. The calculation puts the energy of formation at -1.451 eV per atom. For the size of the total moment, the calculation gives 1.18 μB per formula unit.

The structure belongs to space group R-3m (No. 166, hexagonal axes); the cell edges are 8.0474, 8.0474 and 19.7776 Å and the angles 90.00°, 90.00° and 120.00°. The distinct sites, in fractional coordinates, are Tb at (0.0000, 0.0000, 0.0000), Ce at (0.0000, 0.0000, 0.5000), Ce at (0.0000, 0.5000, 0.5000), Pa at (0.0000, 0.5000, 0.0000), P at (0.0000, 0.0000, 0.2531) and P at (0.0032, 0.5016, 0.2528).

***

19.
First-principles (PBE) data for an optimized crystal structure of CePaTeP, as listed in Alexandria via LeMat-Bulk.

The value obtained for the total energy is -7.191 eV per atom. For the size of the total moment, the calculation gives 1.69 μB per formula unit. For the formation energy (no corrections), the calculation gives -1.1952 eV per atom.

The structure belongs to space group R3m (No. 160, hexagonal axes); the cell edges are 4.0578, 4.0578 and 22.5100 Å and the angles 90.00°, 90.00° and 120.00°. The distinct sites, in fractional coordinates, are Ce at (0.0000, 0.0000, 0.0000), Pa at (0.0000, 0.0000, 0.8054), Te at (0.0000, 0.0000, 0.2320) and P at (0.0000, 0.0000, 0.4056).

***

20.
First-principles (PBE) data for an optimized crystal structure of Ce3Th2PaP6, as listed in Alexandria via LeMat-Bulk.

The value obtained for the total energy is -7.710 eV per atom. The calculation puts the energy of formation at -1.494 eV per atom. For the size of the total moment, the calculation gives 1.17 μB per formula unit.

The structure belongs to space group C2/m (No. 12); the cell edges are 7.081, 12.262 and 7.076 Å and the angles 90.00°, 109.48° and 90.00°. The distinct sites, in fractional coordinates, are Ce at (0.000, 0.000, 0.000), Ce at (0.000, 0.331, 0.000), Th at (0.000, 0.166, 0.500), Pa at (0.000, 0.500, 0.500), P at (0.241, 0.500, 0.251) and P at (0.245, 0.338, 0.748).